[1]
{
  "formula": "HfNbCuAu2",
  "functional": "GGA-PBE",
  "state": "relaxed",
  "formation_energy_mev_per_atom": 1251,
  "volume_a3_per_atom": 23.339,
  "cell": [[5.003, 0.000, 0.000], [0.000, 5.003, 0.000], [0.000, 0.000, 4.663]],
  "species": ["Hf", "Nb", "Cu", "Au", "Au"],
  "frac_coords": [[0.000, 0.000, 0.000], [0.500, 0.500, 0.500], [0.000, 0.000, 0.500], [0.000, 0.500, 0.000], [0.500, 0.000, 0.000]]
}

[2]
{
  "formula": "Hf2Cu7Pd2Au",
  "functional": "GGA-PBE",
  "state": "relaxed",
  "formation_energy_mev_per_atom": -131,
  "volume_a3_per_atom": 15.108,
  "cell": [[2.613, -2.755, 0.000], [2.613, 2.755, 0.000], [0.000, 0.000, 12.595]],
  "species": ["Hf", "Hf", "Cu", "Cu", "Cu", "Cu", "Cu", "Cu", "Cu", "Pd", "Pd", "Au"],
  "frac_coords": [[0.000, 0.000, 0.165], [0.000, 0.000, 0.835], [0.000, 0.000, 0.500], [0.000, 0.500, 0.349], [0.000, 0.500, 0.651], [0.290, 0.710, 0.000], [0.500, 0.000, 0.349], [0.500, 0.000, 0.651], [0.710, 0.290, 0.000], [0.500, 0.500, 0.204], [0.500, 0.500, 0.796], [0.500, 0.500, 0.500]]
}

[3]
{
  "formula": "Hf2CuRhAu2",
  "functional": "GGA-PBE",
  "state": "relaxed",
  "formation_energy_mev_per_atom": -429,
  "volume_a3_per_atom": 18.097,
  "cell": [[-2.823, 6.759, 2.845], [2.823, -6.759, 2.845], [2.823, 6.759, -2.845]],
  "species": ["Hf", "Hf", "Hf", "Hf", "Cu", "Cu", "Rh", "Rh", "Au", "Au", "Au", "Au"],
  "frac_coords": [[0.152, 0.214, 0.366], [0.348, 0.714, 0.062], [0.652, 0.286, 0.938], [0.848, 0.786, 0.634], [0.250, 0.750, 0.500], [0.750, 0.250, 0.500], [0.250, 0.250, 0.000], [0.750, 0.750, 0.000], [0.142, 0.714, 0.856], [0.358, 0.214, 0.573], [0.642, 0.786, 0.427], [0.858, 0.286, 0.144]]
}

[4]
{
  "formula": "HfScCuAu",
  "functional": "GGA-PBE",
  "state": "relaxed",
  "formation_energy_mev_per_atom": -373,
  "volume_a3_per_atom": 18.577,
  "cell": [[0.000, 3.337, 3.337], [3.337, 0.000, 3.337], [3.337, 3.337, 0.000]],
  "species": ["Hf", "Sc", "Cu", "Au"],
  "frac_coords": [[0.000, 0.000, 0.000], [0.500, 0.500, 0.500], [0.250, 0.250, 0.250], [0.750, 0.750, 0.750]]
}

[5]
{
  "formula": "HfTaCuAu2",
  "functional": "GGA-PBE",
  "state": "relaxed",
  "formation_energy_mev_per_atom": 1420,
  "volume_a3_per_atom": 23.007,
  "cell": [[4.986, 0.000, 0.000], [0.000, 4.986, 0.000], [0.000, 0.000, 4.626]],
  "species": ["Hf", "Ta", "Cu", "Au", "Au"],
  "frac_coords": [[0.000, 0.000, 0.000], [0.500, 0.500, 0.500], [0.000, 0.000, 0.500], [0.000, 0.500, 0.000], [0.500, 0.000, 0.000]]
}

[6]
{
  "formula": "HfThCuAu",
  "functional": "GGA-PBE",
  "state": "relaxed",
  "formation_energy_mev_per_atom": -174,
  "volume_a3_per_atom": 21.777,
  "cell": [[0.000, 3.518, 3.518], [3.518, 0.000, 3.518], [3.518, 3.518, 0.000]],
  "species": ["Hf", "Th", "Cu", "Au"],
  "frac_coords": [[0.000, 0.000, 0.000], [0.500, 0.500, 0.500], [0.250, 0.250, 0.250], [0.750, 0.750, 0.750]]
}

[7]
{
  "formula": "HfTiCuAu",
  "functional": "GGA-PBE",
  "state": "relaxed",
  "formation_energy_mev_per_atom": -317,
  "volume_a3_per_atom": 17.090,
  "cell": [[3.326, 0.000, 0.000], [0.000, 3.326, 0.000], [0.000, 0.000, 6.180]],
  "species": ["Hf", "Ti", "Cu", "Au"],
  "frac_coords": [[0.000, 0.000, 0.000], [0.500, 0.500, 0.290], [0.500, 0.500, 0.761], [0.000, 0.000, 0.525]]
}

[8]
{
  "formula": "Hf2Zn5Cu2Au3",
  "functional": "GGA-PBE",
  "state": "relaxed",
  "formation_energy_mev_per_atom": -107,
  "volume_a3_per_atom": 16.783,
  "cell": [[-1.808, 1.808, 15.396], [1.808, -1.808, 15.396], [1.808, 1.808, -15.396]],
  "species": ["Hf", "Hf", "Zn", "Zn", "Zn", "Zn", "Zn", "Cu", "Cu", "Au", "Au", "Au"],
  "frac_coords": [[0.221, 0.221, 0.000], [0.779, 0.779, 0.000], [0.000, 0.000, 0.000], [0.075, 0.575, 0.500], [0.425, 0.925, 0.500], [0.575, 0.075, 0.500], [0.925, 0.425, 0.500], [0.132, 0.132, 0.000], [0.868, 0.868, 0.000], [0.328, 0.328, 0.000], [0.500, 0.500, 0.000], [0.672, 0.672, 0.000]]
}

[9]
{
  "formula": "CuHg2Au",
  "functional": "GGA-PBE",
  "state": "relaxed",
  "formation_energy_mev_per_atom": 160,
  "volume_a3_per_atom": 18.738,
  "relative_energy_ev_per_atom": 0.0692,
  "cell": [[3.027, 0.000, 0.000], [0.000, 3.027, 0.000], [0.000, 0.000, 8.182]],
  "species": ["Cu", "Hg", "Hg", "Au"],
  "frac_coords": [[0.000, 0.000, 0.000], [0.500, 0.500, 0.227], [0.500, 0.500, 0.773], [0.000, 0.000, 0.500]]
}

[10]
{
  "formula": "Cu3Hg2Au8",
  "functional": "GGA-PBE",
  "state": "relaxed",
  "formation_energy_mev_per_atom": 38,
  "volume_a3_per_atom": 19.631,
  "cell": [[7.777, 0.000, 0.000], [0.000, 4.064, 0.000], [-3.880, 0.000, 8.074]],
  "species": ["Cu", "Cu", "Cu", "Hg", "Hg", "Au", "Au", "Au", "Au", "Au", "Au", "Au", "Au"],
  "frac_coords": [[0.000, 0.000, 0.000], [0.246, 0.500, 0.000], [0.754, 0.500, 0.000], [0.252, 0.000, 0.502], [0.748, 0.000, 0.498], [0.116, 0.500, 0.234], [0.145, 0.000, 0.778], [0.366, 0.000, 0.221], [0.389, 0.500, 0.777], [0.611, 0.500, 0.223], [0.634, 0.000, 0.779], [0.855, 0.000, 0.222], [0.884, 0.500, 0.766]]
}

[11]
{
  "formula": "CuHg2Au",
  "functional": "GGA-PBE",
  "state": "relaxed",
  "formation_energy_mev_per_atom": 171,
  "volume_a3_per_atom": 19.773,
  "relative_energy_ev_per_atom": 0.0803,
  "cell": [[5.028, -1.476, 0.000], [5.028, 1.476, 0.000], [-2.040, 0.000, 5.329]],
  "species": ["Cu", "Hg", "Hg", "Au"],
  "frac_coords": [[0.000, 0.000, 0.000], [0.265, 0.265, 0.763], [0.735, 0.735, 0.237], [0.500, 0.500, 0.500]]
}

[12]
{
  "formula": "Cu2Hg2Au",
  "functional": "GGA-PBE",
  "state": "relaxed",
  "formation_energy_mev_per_atom": 367,
  "volume_a3_per_atom": 19.324,
  "relative_energy_ev_per_atom": 0.2266,
  "cell": [[-1.961, 1.961, 6.283], [1.961, -1.961, 6.283], [1.961, 1.961, -6.283]],
  "species": ["Cu", "Cu", "Hg", "Hg", "Au"],
  "frac_coords": [[0.092, 0.092, 0.000], [0.908, 0.908, 0.000], [0.250, 0.750, 0.500], [0.750, 0.250, 0.500], [0.500, 0.500, 0.000]]
}